Entry from Alexandria via LeMat-Bulk: an optimized crystal structure of PrCuGe (GGA-PBE).

As for the electronic total energy: -5.0051 eV/atom. As for the density of states at the Fermi level: 2.748 states/eV/cell. The value obtained for the calculated volume is 22.275 Å³/atom.

The space group is F-43m (No. 216) and the conventional cell measures 6.442, 6.442 and 6.442 Å, with angles of 90.00, 90.00 and 90.00 degrees. The inequivalent atoms are Pr at (0.000, 0.000, 0.000), Cu at (0.250, 0.250, 0.750) and Ge at (0.000, 0.000, 0.500).